1.
SrPr2Th after structural relaxation. Source: Alexandria via LeMat-Bulk, functional PBE.

Values from the calculation:
Calculated total energy, eV per atom: -4.51
Formation energy from the elements, eV per atom: 0.1535
ΔE to the lowest computed polymorph, eV/atom: 0.0798
Total magnetization, μB/f.u.: 0.0
Crystal system: trigonal

Lattice parameters (Å, degrees): 13.207 13.207 13.207 16.06 16.06 16.06
Fractional positions:
Sr 0.000 0.000 0.000
Pr 0.094 0.094 0.094
Pr 0.906 0.906 0.906
Th 0.500 0.500 0.500

=====

2.
PrP2Pt4 after structural relaxation. Source: Alexandria via LeMat-Bulk, functional PBE.

Values from the calculation:
Calculated total energy, eV per atom: -6.43
Formation energy from the elements, eV per atom: -0.7486
Total magnetization, μB/f.u.: 0.0
Crystal system: tetragonal

Lattice parameters (Å, degrees): 7.903 7.903 3.809 90.00 90.00 90.00
Fractional positions:
Pr 0.000 0.000 0.000
Pr 0.500 0.500 0.500
P 0.225 0.225 0.500
P 0.275 0.725 0.000
P 0.725 0.275 0.000
P 0.775 0.775 0.500
Pt 0.069 0.684 0.500
Pt 0.184 0.431 0.000
Pt 0.316 0.931 0.500
Pt 0.431 0.184 0.000
Pt 0.569 0.816 0.000
Pt 0.684 0.069 0.500
Pt 0.816 0.569 0.000
Pt 0.931 0.316 0.500

=====

Q: Which value of calculated total energy does entry 1 give?
A: -4.51 eV per atom

=====

Copy entry 2 word for word.
PrP2Pt4 after structural relaxation. Source: Alexandria via LeMat-Bulk, functional PBE.

Values from the calculation:
Calculated total energy, eV per atom: -6.43
Formation energy from the elements, eV per atom: -0.7486
Total magnetization, μB/f.u.: 0.0
Crystal system: tetragonal

Lattice parameters (Å, degrees): 7.903 7.903 3.809 90.00 90.00 90.00
Fractional positions:
Pr 0.000 0.000 0.000
Pr 0.500 0.500 0.500
P 0.225 0.225 0.500
P 0.275 0.725 0.000
P 0.725 0.275 0.000
P 0.775 0.775 0.500
Pt 0.069 0.684 0.500
Pt 0.184 0.431 0.000
Pt 0.316 0.931 0.500
Pt 0.431 0.184 0.000
Pt 0.569 0.816 0.000
Pt 0.684 0.069 0.500
Pt 0.816 0.569 0.000
Pt 0.931 0.316 0.500